(1)
{
  "formula": "Sr2ZnGa2Rh5",
  "functional": "GGA-PBE",
  "state": "relaxed",
  "cell": [[10.387, 0.000, 0.000], [0.000, 10.387, 0.000], [0.000, 0.000, 3.289]],
  "species": ["Sr", "Sr", "Sr", "Sr", "Zn", "Zn", "Ga", "Ga", "Ga", "Ga", "Rh", "Rh", "Rh", "Rh", "Rh", "Rh", "Rh", "Rh", "Rh", "Rh"],
  "fractional_positions": [[0.174, 0.326, 0.000], [0.326, 0.826, 0.000], [0.674, 0.174, 0.000], [0.826, 0.674, 0.000], [0.000, 0.000, 0.000], [0.500, 0.500, 0.000], [0.129, 0.629, 0.000], [0.371, 0.129, 0.000], [0.629, 0.871, 0.000], [0.871, 0.371, 0.000], [0.000, 0.500, 0.500], [0.061, 0.802, 0.500], [0.198, 0.061, 0.500], [0.302, 0.561, 0.500], [0.439, 0.302, 0.500], [0.500, 0.000, 0.500], [0.561, 0.698, 0.500], [0.698, 0.439, 0.500], [0.802, 0.939, 0.500], [0.939, 0.198, 0.500]],
  "ef_ev_per_atom": -0.410,
  "rho_kg_m3": 8374,
  "space_group": "P4/mbm, No. 127",
  "n_ef_per_ev_atom": 0.40,
  "magnetic_moment_mub_per_atom": 0.000,
  "crystal_system": "tetragonal"
}

***

(2)
{
  "formula": "SrZn2GaRh",
  "functional": "GGA-PBE",
  "state": "relaxed",
  "cell": [[-2.130, 2.172, 5.402], [2.130, -2.172, 5.402], [2.130, 2.172, -5.402]],
  "species": ["Sr", "Zn", "Zn", "Ga", "Rh"],
  "fractional_positions": [[0.000, 0.000, 0.000], [0.622, 0.622, 0.000], [0.749, 0.249, 0.500], [0.374, 0.374, 0.000], [0.251, 0.751, 0.500]],
  "ef_ev_per_atom": -0.370,
  "rho_kg_m3": 6496,
  "space_group": "Imm2, No. 44",
  "n_ef_per_ev_atom": 0.48,
  "magnetic_moment_mub_per_atom": 0.000,
  "crystal_system": "orthorhombic"
}

***

(3)
{
  "formula": "Sr2Zn2GaRh5",
  "functional": "GGA-PBE",
  "state": "relaxed",
  "cell": [[10.306, 0.000, 0.000], [0.000, 10.306, 0.000], [0.000, 0.000, 3.323]],
  "species": ["Sr", "Sr", "Sr", "Sr", "Zn", "Zn", "Zn", "Zn", "Ga", "Ga", "Rh", "Rh", "Rh", "Rh", "Rh", "Rh", "Rh", "Rh", "Rh", "Rh"],
  "fractional_positions": [[0.173, 0.327, 0.000], [0.327, 0.827, 0.000], [0.673, 0.173, 0.000], [0.827, 0.673, 0.000], [0.129, 0.629, 0.000], [0.371, 0.129, 0.000], [0.629, 0.871, 0.000], [0.871, 0.371, 0.000], [0.000, 0.000, 0.000], [0.500, 0.500, 0.000], [0.000, 0.500, 0.500], [0.058, 0.808, 0.500], [0.192, 0.058, 0.500], [0.308, 0.558, 0.500], [0.442, 0.308, 0.500], [0.500, 0.000, 0.500], [0.558, 0.692, 0.500], [0.692, 0.442, 0.500], [0.808, 0.942, 0.500], [0.942, 0.192, 0.500]],
  "ef_ev_per_atom": -0.310,
  "rho_kg_m3": 8378,
  "space_group": "P4/mbm, No. 127",
  "n_ef_per_ev_atom": 0.80,
  "magnetic_moment_mub_per_atom": 0.000,
  "crystal_system": "tetragonal"
}